(1)
Computed, not measured: a relaxed BaPd3O crystal at the PBE level of DFT.

- distance to the lowest polymorph of the same formula (eV/atom) = 0.0000
- E_form (uncorrected) (kJ/mol of formula units) = -135
- total energy (eV/cell) = -23.85

```
data_BaPd3O
_chemical_formula_sum 'Ba1 Pd3 O1'
_symmetry_space_group_name_H-M 'P m -3 m'
_symmetry_Int_Tables_number 221
_symmetry_space_group_name_Hall '-P 4 2 3'
_cell_length_a 4.543
_cell_length_b 4.543
_cell_length_c 4.543
_cell_angle_alpha 90.00
_cell_angle_beta 90.00
_cell_angle_gamma 90.00
loop_
_atom_site_label
_atom_site_type_symbol
_atom_site_fract_x
_atom_site_fract_y
_atom_site_fract_z
Ba1 Ba 0.000 0.000 0.000
Pd1 Pd 0.000 0.500 0.500
O1 O 0.500 0.500 0.500
```

=====

(2)
Computed, not measured: a relaxed BaPdO4 crystal at the PBE level of DFT.

- E_form (uncorrected) (kJ/mol of formula units) = -579
- total energy (eV/cell) = -65.90

```
data_BaPdO4
_chemical_formula_sum 'Ba2 Pd2 O8'
_symmetry_space_group_name_H-M 'P -1'
_symmetry_Int_Tables_number 2
_cell_length_a 4.597
_cell_length_b 5.542
_cell_length_c 7.968
_cell_angle_alpha 80.56
_cell_angle_beta 73.52
_cell_angle_gamma 75.37
loop_
_symmetry_equiv_pos_as_xyz
'x,y,z'
'-x,-y,-z'
loop_
_atom_site_label
_atom_site_type_symbol
_atom_site_fract_x
_atom_site_fract_y
_atom_site_fract_z
Ba1 Ba 0.120 0.153 0.176
Pd1 Pd 0.347 0.256 0.593
O1 O 0.158 0.598 0.275
O2 O 0.240 0.972 0.500
O3 O 0.304 0.087 0.836
O4 O 0.420 0.479 0.346
```